Record 1
Entry from Alexandria: a geometry-optimized FeSbAs structure (GGA-PBE).

polymorph energy (0 for the lowest one)	2.29	eV per formula unit
E_form (uncorrected)	0.633	eV per atom
total energy	-5.112	eV per atom
calculated volume	22.261	A^3/atom
magnetic moment	2.8	μB/cell
space group	F-43m, No. 216

Cell lengths 4.5540, 4.5540, 4.5540 Å; angles 60.00, 60.00, 60.00 degrees
Sites, in units of the cell vectors:
1 Fe 0.0000 0.0000 0.0000
2 Sb 0.5000 0.5000 0.5000
3 As 0.2500 0.2500 0.2500


Record 2
Entry from Alexandria: a geometry-optimized Ba3PrAu2O6 structure (GGA-PBE).

E_form (uncorrected)	-1.657	eV per atom
total energy	-5.561	eV per atom
calculated volume	20.256	A^3/atom
magnetic moment	0.0	μB/cell
space group	P-3m1, No. 164

Cell lengths 6.3410, 6.3410, 6.9804 Å; angles 90.00, 90.00, 120.00 degrees
Sites, in units of the cell vectors:
1 Ba 0.0000 0.0000 0.0000
2 Ba 0.3333 0.6667 0.6274
3 Ba 0.6667 0.3333 0.3726
4 Pr 0.0000 0.0000 0.5000
5 Au 0.3333 0.6667 0.1267
6 Au 0.6667 0.3333 0.8733
7 O 0.1681 0.3361 0.3025
8 O 0.1681 0.8319 0.3025
9 O 0.3361 0.1681 0.6975
10 O 0.6639 0.8319 0.3025
11 O 0.8319 0.1681 0.6975
12 O 0.8319 0.6639 0.6975


Record 3
Entry from Alexandria: a geometry-optimized MnSBrN2 structure (GGA-PBE).

polymorph energy (0 for the lowest one)	5.43	eV per formula unit
E_form (uncorrected)	1.899	eV per atom
total energy	-4.425	eV per atom
calculated volume	20.066	A^3/atom
magnetic moment	5.5	μB/cell
space group	P4/mmm, No. 123

Cell lengths 3.7389, 3.7389, 7.1770 Å; angles 90.00, 90.00, 90.00 degrees
Sites, in units of the cell vectors:
1 Mn 0.0000 0.0000 0.0000
2 S 0.5000 0.5000 0.0000
3 Br 0.5000 0.5000 0.5000
4 N 0.0000 0.5000 0.5000
5 N 0.5000 0.0000 0.5000


Record 4
Entry from Alexandria: a geometry-optimized Li2InOs structure (GGA-PBE).

energy of formation from the pure elements	0.235	eV per atom
total energy	-4.214	eV per atom
calculated volume	15.719	A^3/atom
magnetic moment	0.6	μB/cell
space group	I4/mmm, No. 139

Cell lengths 4.9947, 4.9947, 4.9947 Å; angles 134.27, 134.27, 66.67 degrees
Sites, in units of the cell vectors:
1 Li 0.2500 0.7500 0.5000
2 Li 0.7500 0.2500 0.5000
3 In 0.0000 0.0000 0.0000
4 Os 0.5000 0.5000 0.0000


Record 5
Entry from Alexandria: a geometry-optimized Er6NbO12 structure (GGA-PBE).

E_form (uncorrected)	-3.354	eV per atom
total energy	-8.457	eV per atom
calculated volume	13.446	A^3/atom
magnetic moment	1.1	μB/cell
space group	R-3, No. 148

Cell lengths 6.4309, 6.4309, 6.4309 Å; angles 98.80, 98.80, 98.80 degrees
Sites, in units of the cell vectors:
1 Er 0.1111 0.6395 0.8038
2 Er 0.1962 0.8889 0.3605
3 Er 0.3605 0.1962 0.8889
4 Er 0.6395 0.8038 0.1111
5 Er 0.8038 0.1111 0.6395
6 Er 0.8889 0.3605 0.1962
7 Nb 0.5000 0.5000 0.5000
8 O 0.0647 0.3219 0.9147
9 O 0.0853 0.9353 0.6781
10 O 0.1932 0.5440 0.4258
11 O 0.3219 0.9147 0.0647
12 O 0.4258 0.1932 0.5440
13 O 0.4560 0.5742 0.8068
14 O 0.5440 0.4258 0.1932
15 O 0.5742 0.8068 0.4560
16 O 0.6781 0.0853 0.9353
17 O 0.8068 0.4560 0.5742
18 O 0.9147 0.0647 0.3219
19 O 0.9353 0.6781 0.0853


Record 6
Entry from Alexandria: a geometry-optimized BeCdIn2Bi structure (GGA-PBE).

energy of formation from the pure elements	0.304	eV per atom
total energy	-2.496	eV per atom
calculated volume	26.017	A^3/atom
magnetic moment	0.0	μB/cell
space group	P4/mmm, No. 123

Cell lengths 4.8815, 4.8815, 5.4591 Å; angles 90.00, 90.00, 90.00 degrees
Sites, in units of the cell vectors:
1 Be 0.0000 0.0000 0.0000
2 Cd 0.5000 0.5000 0.5000
3 In 0.0000 0.5000 0.0000
4 In 0.5000 0.0000 0.0000
5 Bi 0.0000 0.0000 0.5000


Record 7
Entry from Alexandria: a geometry-optimized Li2ScTlBr structure (GGA-PBE).

E_form (uncorrected)	0.299	eV per atom
total energy	-2.540	eV per atom
calculated volume	30.010	A^3/atom
magnetic moment	1.1	μB/cell
space group	P4/mmm, No. 123

Cell lengths 4.9635, 4.9635, 6.0906 Å; angles 90.00, 90.00, 90.00 degrees
Sites, in units of the cell vectors:
1 Li 0.0000 0.5000 0.0000
2 Li 0.5000 0.0000 0.0000
3 Sc 0.0000 0.0000 0.5000
4 Tl 0.5000 0.5000 0.0000
5 Br 0.5000 0.5000 0.5000


Record 8
Entry from Alexandria: a geometry-optimized NdZnGaCu6 structure (GGA-PBE).

energy of formation from the pure elements	0.121	eV per atom
total energy	-3.617	eV per atom
calculated volume	16.515	A^3/atom
magnetic moment	0.0	μB/cell
space group	Imma, No. 74

Cell lengths 7.4167, 7.4167, 7.4167 Å; angles 124.15, 106.52, 98.88 degrees
Sites, in units of the cell vectors:
1 Nd 0.4708 0.2208 0.2500
2 Nd 0.5292 0.7792 0.7500
3 Zn 0.0000 0.0000 0.5000
4 Zn 0.0000 0.5000 0.0000
5 Ga 0.0000 0.0000 0.0000
6 Ga 0.5000 0.0000 0.5000
7 Cu 0.1189 0.4445 0.3108
8 Cu 0.1189 0.8080 0.6743
9 Cu 0.1688 0.9188 0.2500
10 Cu 0.2172 0.4672 0.7500
11 Cu 0.3663 0.1920 0.8108
12 Cu 0.3663 0.5555 0.1743
13 Cu 0.6337 0.4445 0.8257
14 Cu 0.6337 0.8080 0.1892
15 Cu 0.7828 0.5328 0.2500
16 Cu 0.8312 0.0812 0.7500
17 Cu 0.8811 0.1920 0.3257
18 Cu 0.8811 0.5555 0.6892


Record 9
Entry from Alexandria: a geometry-optimized Ac2SmGd structure (GGA-PBE).

energy of formation from the pure elements	0.036	eV per atom
polymorph energy (0 for the lowest one)	0.01	eV per formula unit
total energy	-6.718	eV per atom
calculated volume	38.648	A^3/atom
magnetic moment	7.6	μB/cell
space group	P4/mmm, No. 123

Cell lengths 3.8487, 3.8487, 10.4366 Å; angles 90.00, 90.00, 90.00 degrees
Sites, in units of the cell vectors:
1 Ac 0.0000 0.0000 0.2503
2 Ac 0.0000 0.0000 0.7497
3 Sm 0.5000 0.5000 0.0000
4 Gd 0.5000 0.5000 0.5000


Record 10
Entry from Alexandria: a geometry-optimized PrHo2Ga structure (GGA-PBE).

energy of formation from the pure elements	-0.246	eV per atom
polymorph energy (0 for the lowest one)	0.16	eV per formula unit
total energy	-4.487	eV per atom
calculated volume	29.298	A^3/atom
magnetic moment	0.0	μB/cell
space group	Cmcm, No. 63

Cell lengths 6.4865, 6.4865, 8.8796 Å; angles 90.00, 90.00, 141.14 degrees
Sites, in units of the cell vectors:
1 Pr 0.0594 0.9406 0.7500
2 Pr 0.9406 0.0594 0.2500
3 Ho 0.3548 0.6452 0.5549
4 Ho 0.3548 0.6452 0.9451
5 Ho 0.6452 0.3548 0.0549
6 Ho 0.6452 0.3548 0.4451
7 Ga 0.2465 0.7535 0.2500
8 Ga 0.7535 0.2465 0.7500


Record 11
Entry from Alexandria: a geometry-optimized GeB2HS structure (GGA-PBE).

total energy	-3.987	eV per atom
calculated volume	10.249	A^3/atom
magnetic moment	0.0	μB/cell
space group	P4/mmm, No. 123

Cell lengths 4.1011, 4.1011, 3.0467 Å; angles 90.00, 90.00, 90.00 degrees
Sites, in units of the cell vectors:
1 Ge 0.0000 0.0000 0.0000
2 B 0.0000 0.5000 0.5000
3 B 0.5000 0.0000 0.5000
4 H 0.5000 0.5000 0.0000
5 S 0.5000 0.5000 0.5000


Record 12
Entry from Alexandria: a geometry-optimized KTc2Ru structure (GGA-PBE).

energy of formation from the pure elements	1.470	eV per atom
polymorph energy (0 for the lowest one)	2.88	eV per formula unit
total energy	-6.306	eV per atom
calculated volume	16.775	A^3/atom
magnetic moment	0.3	μB/cell
space group	Pmmm, No. 47

Cell lengths 2.8291, 4.7996, 4.9416 Å; angles 90.00, 90.00, 90.00 degrees
Sites, in units of the cell vectors:
1 K 0.0000 0.0000 0.0000
2 Tc 0.0000 0.5000 0.5000
3 Tc 0.5000 0.0000 0.5000
4 Ru 0.5000 0.5000 0.0000